# Tb2GaCo12B3 | Alexandria via LeMat-Bulk | GGA-PBE | optimized geometry
# - energy of formation from the pure elements (eV/atom) = 0.17
# - symmetry = R-3m (166)
# - uncorrected energy (Ry per atom) = -0.4676
# - DOS(E_F) (states/eV/f.u.) = 23.09
data_Tb2GaCo12B3
_cell_length_a 6.822
_cell_length_b 6.822
_cell_length_c 6.822
_cell_angle_alpha 61.33
_cell_angle_beta 61.33
_cell_angle_gamma 61.33
_space_group_name_H-M_alt 'P 1'
_space_group_IT_number 1
_space_group_name_Hall 'P 1'
loop_
_atom_site_label
_atom_site_type_symbol
_atom_site_fract_x
_atom_site_fract_y
_atom_site_fract_z
_atom_site_occupancy
Tb1 Tb 0.089 0.089 0.089 1
Tb2 Tb 0.911 0.911 0.911 1
Ga1 Ga 0.500 0.500 0.500 1
Co1 Co 0.032 0.655 0.655 1
Co2 Co 0.239 0.239 0.616 1
Co3 Co 0.239 0.616 0.239 1
Co4 Co 0.345 0.345 0.968 1
Co5 Co 0.345 0.968 0.345 1
Co6 Co 0.384 0.761 0.761 1
Co7 Co 0.616 0.239 0.239 1
Co8 Co 0.655 0.032 0.655 1
Co9 Co 0.655 0.655 0.032 1
Co10 Co 0.761 0.384 0.761 1
Co11 Co 0.761 0.761 0.384 1
Co12 Co 0.968 0.345 0.345 1
B1 B 0.000 0.500 0.500 1
B2 B 0.500 0.000 0.500 1
B3 B 0.500 0.500 0.000 1